Density functional theory data (PBE+U) for a relaxed PrCrIO4 crystal.

Cell lengths 6.6936, 6.6936, 6.8546 Å; angles 79.94, 79.94, 65.32 degrees
Each line ends with the local moment (μB).
Fractional positions:
I (0.9848, 0.9848, 0.7501)  -0.09
I (0.0152, 0.0152, 0.2499)  -0.09
Cr (0.6347, 0.6347, 0.7362)  0.61
O (0.1328, 0.4978, 0.1391)  -0.03
O (0.4846, 0.4846, 0.7700)  -0.06
Cr (0.3653, 0.3653, 0.2638)  0.61
O (0.8672, 0.5022, 0.8609)  -0.03
Pr (0.7365, 0.7365, 0.1434)  0.01
O (0.4978, 0.1328, 0.1391)  -0.03
O (0.7030, 0.7030, 0.4965)  -0.05
O (0.5154, 0.5154, 0.2300)  -0.06
Pr (0.2635, 0.2635, 0.8566)  0.01
O (0.5022, 0.8672, 0.8609)  -0.03
O (0.2970, 0.2970, 0.5035)  -0.05

## Properties
Calculated volume in Å³/cell: 273
Uncorrected energy in eV per atom: -6.634

***

Density functional theory data (PBE+U) for a relaxed RbCrI2O crystal.

Cell lengths 6.2348, 6.2348, 3.7720 Å; angles 90.00, 90.00, 90.00 degrees
Each line ends with the local moment (μB).
Fractional positions:
Rb (0.5000, 0.5000, 0.5000)  0.00
I (0.5000, 0.0000, 0.0000)  -0.08
I (0.0000, 0.5000, 0.0000)  -0.08
O (0.0000, 0.0000, 0.5000)  -0.34
Cr (0.0000, 0.0000, 0.0000)  3.43

## Properties
Calculated volume in Å³/cell: 147
Uncorrected energy in eV per atom: -4.304

***

Density functional theory data (PBE+U) for a relaxed Rb2CrI6O crystal.

Cell lengths 7.7277, 7.7277, 8.0906 Å; angles 61.47, 61.47, 90.00 degrees
Each line ends with the local moment (μB).
Fractional positions:
I (0.2642, 0.2642, 0.0000)  -0.03
Rb (0.7500, 0.2500, 0.5000)  0.00
Cr (0.0000, 0.0000, 0.0000)  1.41
I (0.2642, 0.7358, 0.0000)  -0.03
I (0.2225, 0.2225, 0.5549)  -0.03
I (0.7358, 0.7358, 0.0000)  -0.03
I (0.7775, 0.7775, 0.4451)  -0.03
I (0.7358, 0.2642, 0.0000)  -0.03
O (0.5000, 0.5000, 0.0000)  -0.19
Rb (0.2500, 0.7500, 0.5000)  0.00

## Properties
Calculated volume in Å³/cell: 356
Uncorrected energy in eV per atom: -2.625

***

Density functional theory data (PBE+U) for a relaxed RbCrIO2 crystal.

Cell lengths 4.3503, 4.3503, 5.6074 Å; angles 90.00, 90.00, 90.00 degrees
Each line ends with the local moment (μB).
Fractional positions:
I (0.0000, 0.0000, 0.5000)  -0.10
O (0.0000, 0.5000, 0.0000)  -0.55
O (0.5000, 0.0000, 0.0000)  -0.55
Rb (0.5000, 0.5000, 0.5000)  0.00
Cr (0.0000, 0.0000, 0.0000)  3.30

## Properties
Calculated volume in Å³/cell: 106
Uncorrected energy in eV per atom: -4.600

***

Density functional theory data (PBE+U) for a relaxed RbCrI2O crystal.

Cell lengths 6.7097, 6.7097, 4.4339 Å; angles 90.00, 90.00, 90.00 degrees
Each line ends with the local moment (μB).
Fractional positions:
Rb (0.0000, 0.0000, 0.0000)  -0.03
I (0.0000, 0.5000, 0.0000)  -0.20
O (0.0000, 0.0000, 0.5000)  -0.47
I (0.5000, 0.0000, 0.0000)  -0.20
Cr (0.5000, 0.5000, 0.5000)  4.54

## Properties
Calculated volume in Å³/cell: 200
Uncorrected energy in eV per atom: -2.928

***

Density functional theory data (PBE+U) for a relaxed RbCrIO2 crystal.

Cell lengths 4.8010, 4.8010, 7.3442 Å; angles 90.00, 90.00, 90.00 degrees
Each line ends with the local moment (μB).
Fractional positions:
O (0.0000, 0.5000, 0.0000)  1.07
O (0.5000, 0.0000, 0.0000)  1.07
Rb (0.0000, 0.0000, 0.0000)  0.14
Cr (0.5000, 0.5000, 0.5000)  4.47
I (0.0000, 0.0000, 0.5000)  -0.09

## Properties
Calculated volume in Å³/cell: 169
Uncorrected energy in eV per atom: -3.484